Below is Zn2CrCuO after structural relaxation, with properties calculated at the PBE+U level.

Properties
VASP energy, eV/atom: -3.126
Spin magnetization, Bohr magnetons per cell: 4.10

Lattice parameters (Å, degrees): 4.455 4.455 4.897 90.00 90.00 90.00
Space group P4/mmm (No. 123)
Asymmetric unit:
Zn: 0.000 0.500 0.000 x2
Cr: 0.000 0.000 0.500 x1
Cu: 0.000 0.000 0.000 x1
O: 0.500 0.500 0.500 x1